# 1
First-principles (GGA-PBEsol) data for a relaxed structure of Li2LaTaBi, as listed in the Alexandria database.

Cell: 4.863 4.863 5.451 Å, 90.00 90.00 90.00°
Fractional coordinates of all 5 atoms:
Li: 0.000 0.500 0.000
Li: 0.500 0.000 0.000
La: 0.000 0.000 0.500
Ta: 0.500 0.500 0.500
Bi: 0.500 0.500 0.000

DOS at the Fermi energy   1.220 states/eV/atom
VASP energy   -23.5 eV/cell
Crystal system   tetragonal

---

# 2
First-principles (GGA-PBEsol) data for a relaxed structure of La3MgBi5, as listed in the Alexandria database.

Cell: 9.713 9.713 6.504 Å, 90.00 90.00 120.00°
Fractional coordinates of all 18 atoms:
La: 0.000 0.381 0.250
La: 0.000 0.619 0.750
La: 0.381 0.000 0.250
La: 0.381 0.381 0.750
La: 0.619 0.000 0.750
La: 0.619 0.619 0.250
Mg: 0.000 0.000 0.000
Mg: 0.000 0.000 0.500
Bi: 0.000 0.268 0.750
Bi: 0.000 0.732 0.250
Bi: 0.268 0.000 0.750
Bi: 0.268 0.268 0.250
Bi: 0.333 0.667 0.000
Bi: 0.333 0.667 0.500
Bi: 0.667 0.333 0.000
Bi: 0.667 0.333 0.500
Bi: 0.732 0.000 0.250
Bi: 0.732 0.732 0.750

DOS at the Fermi energy   0.626 states/eV/atom
VASP energy   -92.3 eV/cell
Crystal system   hexagonal

---

# 3
First-principles (GGA-PBEsol) data for a relaxed structure of LaMg3Bi, as listed in the Alexandria database.

Cell: 5.469 5.469 5.469 Å, 90.00 90.00 90.00°
Fractional coordinates of all 5 atoms:
La: 0.000 0.000 0.000
Mg: 0.000 0.500 0.500
Mg: 0.500 0.000 0.500
Mg: 0.500 0.500 0.000
Bi: 0.500 0.500 0.500

DOS at the Fermi energy   0.826 states/eV/atom
VASP energy   -13.1 eV/cell
Crystal system   cubic

---

# 4
First-principles (GGA-PBEsol) data for a relaxed structure of LaBiMo3, as listed in the Alexandria database.

Cell: 4.812 4.812 4.812 Å, 90.00 90.00 90.00°
Fractional coordinates of all 5 atoms:
La: 0.000 0.000 0.000
Bi: 0.500 0.500 0.500
Mo: 0.000 0.000 0.500
Mo: 0.000 0.500 0.000
Mo: 0.500 0.000 0.000

DOS at the Fermi energy   1.800 states/eV/atom
VASP energy   -34.3 eV/cell
Crystal system   cubic

---

# 5
First-principles (GGA-PBEsol) data for a relaxed structure of LaBi2TeMo, as listed in the Alexandria database.

Cell: 5.254 5.254 5.429 Å, 90.00 90.00 90.00°
Fractional coordinates of all 5 atoms:
La: 0.000 0.000 0.000
Bi: 0.000 0.500 0.500
Bi: 0.500 0.000 0.500
Te: 0.500 0.500 0.000
Mo: 0.000 0.000 0.500

DOS at the Fermi energy   0.441 states/eV/atom
Crystal system   tetragonal
E_form (uncorrected)   -0.0499 eV per atom

---

# 6
First-principles (GGA-PBEsol) data for a relaxed structure of LaBi3N, as listed in the Alexandria database.

Cell: 4.981 4.981 4.981 Å, 90.00 90.00 90.00°
Fractional coordinates of all 5 atoms:
La: 0.000 0.000 0.000
Bi: 0.000 0.500 0.500
Bi: 0.500 0.000 0.500
Bi: 0.500 0.500 0.000
N: 0.500 0.500 0.500

DOS at the Fermi energy   0.573 states/eV/atom
Crystal system   cubic
E_form (uncorrected)   -0.0764 eV per atom